Record 1
VASP calculation (PBE) on a relaxed ReRu2Br crystal. Values from VASP.

Summary:
Space-group type ... Amm2, No. 38
Energy relative to the elements, uncorrected ... 819 meV/atom

```
&SYSTEM
  ibrav = 0, nat = 4, ntyp = 3
/
ATOMIC_SPECIES
Ru 101.07 Ru.upf
Br 79.90 Br.upf
Re 186.21 Re.upf
ATOMIC_POSITIONS angstrom
Ru -1.514 1.813 -1.306
Br -2.608 -0.335 -2.636
Ru -0.088 -0.115 -2.694
Re -4.441 1.499 -2.675
CELL_PARAMETERS angstrom
-0.350 3.959 -0.158
-0.056 -0.119 -2.875
-5.440 -0.533 -1.311
```

***

Record 2
VASP calculation (PBE) on a relaxed Pr2GaPd2Pt5 crystal. Values from VASP.

Summary:
Space-group type ... P4/mbm, No. 127
ΔH_f (0 K) ... -0.732 eV per atom

```
&SYSTEM
  ibrav = 0, nat = 20, ntyp = 4
/
ATOMIC_SPECIES
Pt 195.08 Pt.upf
Pr 140.91 Pr.upf
Ga 69.72 Ga.upf
Pd 106.42 Pd.upf
ATOMIC_POSITIONS angstrom
Pt 2.049 4.801 0.000
Pt 2.049 5.329 6.714
Pr 0.000 6.451 1.649
Pt 2.049 0.000 4.801
Ga 0.000 4.801 4.801
Pr 0.000 7.953 6.451
Pt 2.049 6.714 4.274
Pt 2.049 7.690 9.075
Pt 2.049 2.889 5.329
Pt 2.049 1.913 0.528
Pd 0.000 8.368 3.567
Pr 0.000 1.649 3.152
Pt 2.049 0.528 7.690
Pd 0.000 6.036 8.368
Pr 0.000 3.152 7.953
Ga 0.000 0.000 0.000
Pd 0.000 1.235 6.036
Pt 2.049 4.274 2.889
Pd 0.000 3.567 1.235
Pt 2.049 9.075 1.913
CELL_PARAMETERS angstrom
4.099 0.000 0.000
0.000 9.603 0.000
0.000 0.000 9.603
```

***

Record 3
VASP calculation (PBE) on a relaxed HoZn2Hg crystal. Values from VASP.

Summary:
Space-group type ... P4/mmm, No. 123
ΔH_f (0 K) ... -0.235 eV per atom

```
&SYSTEM
  ibrav = 0, nat = 4, ntyp = 3
/
ATOMIC_SPECIES
Ho 164.93 Ho.upf
Zn 65.41 Zn.upf
Hg 200.59 Hg.upf
ATOMIC_POSITIONS angstrom
Ho 2.136 0.000 0.000
Zn 0.000 0.000 2.207
Hg 2.136 2.207 2.207
Zn 0.000 2.207 0.000
CELL_PARAMETERS angstrom
4.271 0.000 0.000
0.000 4.413 0.000
0.000 0.000 4.413
```

***

Record 4
VASP calculation (PBE) on a relaxed SrAcI2O crystal. Values from VASP.

Summary:
Space-group type ... P4/nmm, No. 129
Energy relative to the elements, uncorrected ... -2138 meV/atom

```
&SYSTEM
  ibrav = 0, nat = 10, ntyp = 4
/
ATOMIC_SPECIES
I 126.90 I.upf
Sr 87.62 Sr.upf
Ac 227.00 Ac.upf
O 16.00 O.upf
ATOMIC_POSITIONS angstrom
I 2.140 0.000 7.112
Sr 2.140 0.000 1.692
Ac 0.000 2.140 9.055
I 0.000 2.140 13.525
Ac 2.140 0.000 11.582
O 0.000 0.000 10.318
Sr 0.000 2.140 18.944
I 2.140 0.000 17.271
I 0.000 2.140 3.365
O 2.140 2.140 10.318
CELL_PARAMETERS angstrom
4.280 0.000 0.000
0.000 4.280 0.000
0.000 0.000 20.637
```

***

Record 5
VASP calculation (PBE) on a relaxed LaTaCr2 crystal. Values from VASP.

Summary:
Space-group type ... R3m, No. 160
ΔH_f (0 K) ... 0.711 eV per atom

```
&SYSTEM
  ibrav = 0, nat = 4, ntyp = 3
/
ATOMIC_SPECIES
Cr 52.00 Cr.upf
La 138.91 La.upf
Ta 180.95 Ta.upf
ATOMIC_POSITIONS angstrom
Cr 26.859 4.280 2.513
La 13.714 2.185 1.283
Cr 7.293 1.162 0.682
Ta 19.870 3.166 1.859
CELL_PARAMETERS angstrom
9.348 -0.039 -0.023
8.873 2.942 -0.023
8.873 1.414 2.580
```

***

Record 6
VASP calculation (PBE) on a relaxed Ce2Dy3TmBi6 crystal. Values from VASP.

Summary:
Space-group type ... C2/m, No. 12
ΔH_f (0 K) ... -0.822 eV per atom

```
&SYSTEM
  ibrav = 0, nat = 12, ntyp = 4
/
ATOMIC_SPECIES
Ce 140.12 Ce.upf
Bi 208.98 Bi.upf
Dy 162.50 Dy.upf
Tm 168.93 Tm.upf
ATOMIC_POSITIONS angstrom
Ce 0.000 2.128 3.240
Bi 2.259 -0.361 9.512
Bi 2.259 -0.159 3.158
Dy 0.000 6.647 3.449
Bi 0.000 6.578 6.641
Bi 0.000 6.779 0.287
Bi 2.259 4.430 3.325
Tm 2.259 0.000 0.000
Ce 2.259 4.290 6.559
Dy 2.259 4.507 0.161
Dy 2.259 -0.228 6.350
Bi 0.000 1.989 6.474
CELL_PARAMETERS angstrom
4.519 0.000 0.000
0.000 9.014 0.321
-2.259 -2.596 9.478
```

***

Record 7
VASP calculation (PBE) on a relaxed Er3TmPb crystal. Values from VASP.

Summary:
Space-group type ... C2/c, No. 15
ΔH_f (0 K) ... -0.057 eV per atom

```
&SYSTEM
  ibrav = 0, nat = 20, ntyp = 3
/
ATOMIC_SPECIES
Tm 168.93 Tm.upf
Pb 207.20 Pb.upf
Er 167.26 Er.upf
ATOMIC_POSITIONS angstrom
Tm -3.909 -10.684 -0.734
Pb -4.885 -11.446 2.928
Tm -4.795 -8.347 1.770
Er -2.140 -10.218 2.272
Er -3.312 -5.221 0.444
Er -4.137 -14.251 3.951
Er -1.360 -9.488 -3.163
Pb -3.819 -7.585 -1.892
Pb -2.615 -2.388 -2.253
Er -3.857 -9.317 5.319
Er -1.034 -8.050 -0.071
Tm -1.373 -5.550 -2.803
Er -6.564 -8.812 -1.235
Er -5.392 -13.810 0.592
Tm -7.331 -13.480 3.840
Er -4.847 -9.714 -4.282
Pb -1.737 -7.127 2.771
Er -7.345 -9.542 4.200
Er -7.670 -10.980 1.108
Er -4.567 -4.779 -2.914
CELL_PARAMETERS angstrom
-5.231 -4.776 -4.505
0.605 -7.412 -3.894
-4.079 -6.843 9.436
```

***

Record 8
VASP calculation (PBE) on a relaxed DyCuGePt3 crystal. Values from VASP.

Summary:
Space-group type ... Cmcm, No. 63
ΔH_f (0 K) ... -0.554 eV per atom

```
&SYSTEM
  ibrav = 0, nat = 12, ntyp = 4
/
ATOMIC_SPECIES
Ge 72.64 Ge.upf
Cu 63.55 Cu.upf
Pt 195.08 Pt.upf
Dy 162.50 Dy.upf
ATOMIC_POSITIONS angstrom
Ge 1.410 0.000 4.278
Cu 4.231 0.000 0.789
Pt 0.000 4.829 0.000
Pt 2.820 1.928 0.000
Pt 2.820 4.829 0.000
Pt 1.410 0.000 1.894
Dy 1.410 3.378 2.297
Ge 4.231 3.378 1.517
Dy 4.231 0.000 3.498
Pt 0.000 1.928 0.000
Cu 1.410 3.378 5.006
Pt 4.231 3.378 3.901
CELL_PARAMETERS angstrom
5.641 0.000 0.000
0.000 6.757 0.000
0.000 -3.378 5.795
```

***

Number 1: calculated volume 62.2 Å³/cell, DFT total energy -7.35 eV per atom. Number 2: calculated volume 378.0 Å³/cell, DFT total energy -6.05 eV per atom. Number 3: calculated volume 83.2 Å³/cell, DFT total energy -2.09 eV per atom. Number 4: calculated volume 378.0 Å³/cell, DFT total energy -4.91 eV per atom. Number 5: calculated volume 72.5 Å³/cell, DFT total energy -8.30 eV per atom. Number 6: calculated volume 389.8 Å³/cell, DFT total energy -5.27 eV per atom. Number 7: calculated volume 611.5 Å³/cell, DFT total energy -4.43 eV per atom. Number 8: calculated volume 220.9 Å³/cell, DFT total energy -5.79 eV per atom.